VASP calculation (GGA-PBE) on BeReAsBr2 after structural relaxation.

Cell: 5.2164 5.2164 4.7874 Å, 90.00 90.00 90.00°
With the nearest neighbours (Å) after each atom.
Atoms (fractional coordinates):
Be  0.0000  0.0000  0.0000  8 Br 3.54, 4 As 3.69
Re  0.5000  0.5000  0.5000  2 As 2.39, 4 Br 2.61
As  0.5000  0.5000  0.0000  2 Re 2.39
Br  0.0000  0.5000  0.5000  2 Re 2.61
Br  0.5000  0.0000  0.5000  2 Re 2.61

E_form (uncorrected): 0.9982 eV per atom
space-group type: No. 123
ΔE to the lowest computed polymorph: 0 meV/atom

VASP calculation (GGA-PBE) on Mn2Be2Fe after structural relaxation.

Cell: 5.7919 5.7919 2.8775 Å, 90.00 90.00 90.00°
With the nearest neighbours (Å) after each atom.
Atoms (fractional coordinates):
Mn  0.1737  0.3263  0.0000  6 Be 2.19-2.27
Mn  0.3263  0.8263  0.0000  6 Be 2.19-2.27
Mn  0.6737  0.1737  0.0000  6 Be 2.19-2.27
Mn  0.8263  0.6737  0.0000  6 Be 2.19-2.27
Be  0.1243  0.6243  0.5000  1 Be 2.04, 6 Mn 2.19-2.27
Be  0.3757  0.1243  0.5000  1 Be 2.04, 6 Mn 2.19-2.27
Be  0.6243  0.8757  0.5000  1 Be 2.04, 6 Mn 2.19-2.27
Be  0.8757  0.3757  0.5000  1 Be 2.04, 6 Mn 2.19-2.27
Fe  0.0000  0.0000  0.5000  4 Be 2.29
Fe  0.5000  0.5000  0.5000  4 Be 2.29

formation energy from the elements: -0.06 eV/atom
space-group type: No. 127

VASP calculation (GGA-PBE) on ScCu2Tc after structural relaxation.

Cell: 3.2224 3.2224 5.7679 Å, 90.00 90.00 90.00°
With the nearest neighbours (Å) after each atom.
Atoms (fractional coordinates):
Sc  0.0000  0.0000  0.0000  6 Cu 2.78-2.90, 4 Tc 2.79
Cu  0.0000  0.0000  0.5033  4 Cu 2.61, 4 Tc 2.62, 2 Sc 2.86-2.90
Cu  0.5000  0.5000  0.7254  1 Tc 2.58, 4 Cu 2.61, 4 Sc 2.78
Tc  0.5000  0.5000  0.2788  5 Cu 2.58-2.62, 4 Sc 2.79

formation energy from the elements: 0.04 eV/atom
space-group type: No. 99
ΔE to the lowest computed polymorph: 71 meV/atom

VASP calculation (GGA-PBE) on K4InI6 after structural relaxation.

Cell: 8.8707 8.8707 25.5694 Å, 90.00 90.00 150.05°
With the nearest neighbours (Å) after each atom.
Atoms (fractional coordinates):
K  0.0903  0.9097  0.6299  5 I 3.41-3.67
K  0.0903  0.9097  0.8701  5 I 3.41-3.67
K  0.3573  0.6427  0.5406  6 I 3.46-3.61
K  0.3573  0.6427  0.9594  6 I 3.46-3.61
K  0.6427  0.3573  0.0406  6 I 3.46-3.61
K  0.6427  0.3573  0.4594  6 I 3.46-3.61
K  0.9097  0.0903  0.1299  5 I 3.41-3.67
K  0.9097  0.0903  0.3701  5 I 3.41-3.67
In  0.1457  0.8543  0.2500  6 I 3.21-3.35
In  0.8543  0.1457  0.7500  6 I 3.21-3.35
I  0.0000  0.0000  0.0000  6 K 3.51-3.67
I  0.0000  0.0000  0.5000  6 K 3.51-3.67
I  0.2231  0.7769  0.7500  2 In 3.21
I  0.2779  0.7221  0.0863  5 K 3.41-3.52
I  0.2779  0.7221  0.4137  5 K 3.41-3.52
I  0.4362  0.5638  0.6716  2 In 3.35, 3 K 3.61-3.66
I  0.4362  0.5638  0.8284  2 In 3.35, 3 K 3.61-3.66
I  0.5638  0.4362  0.1716  2 In 3.35, 3 K 3.61-3.66
I  0.5638  0.4362  0.3284  2 In 3.35, 3 K 3.61-3.66
I  0.7221  0.2779  0.5863  5 K 3.41-3.52
I  0.7221  0.2779  0.9137  5 K 3.41-3.52
I  0.7769  0.2231  0.2500  2 In 3.21

E_form (uncorrected): -1.1196 eV per atom
space-group type: No. 63